Entry 1:
First-principles (GGA-PBE) data for a relaxed NdSmSc4 crystal, as listed in the Alexandria database.

Cell: 6.342 6.342 6.342 Å, 60.00 60.00 60.00°
Each line ends with the local moment (μB).
Fractional positions:
1 Sm 0.000 0.000 0.000  0.49
2 Sc 0.625 0.625 0.625  0.58
3 Sc 0.125 0.625 0.625  0.58
4 Nd 0.250 0.250 0.250  0.49
5 Sc 0.625 0.125 0.625  0.58
6 Sc 0.625 0.625 0.125  0.58

Properties
Spin magnetization   6.60 μB/cell
DFT total energy   -5.573 eV per atom

---

Entry 2:
First-principles (GGA-PBE) data for a relaxed Nd7Sm12Sc crystal, as listed in the Alexandria database.

Cell: 9.976 9.976 9.976 Å, 109.47 109.47 109.47°
Fractional positions:
1 Sm 0.756 0.000 0.243
2 Sm 0.756 0.513 0.757
3 Sm 0.243 0.244 0.487
4 Nd 0.000 0.500 0.500
5 Nd 0.000 0.000 0.500
6 Nd 0.500 0.500 0.500
7 Sc 0.000 0.000 0.000
8 Sm 0.244 0.000 0.757
9 Sm 0.757 0.756 0.513
10 Nd 0.500 0.000 0.500
11 Sm 0.487 0.243 0.244
12 Sm 0.513 0.757 0.756
13 Nd 0.500 0.500 0.000
14 Nd 0.000 0.500 0.000
15 Sm 0.000 0.757 0.244
16 Sm 0.243 0.756 0.000
17 Sm 0.244 0.487 0.243
18 Sm 0.000 0.243 0.756
19 Sm 0.757 0.244 0.000
20 Nd 0.500 0.000 0.000

Properties
Spin magnetization   0.00 μB/cell
DFT total energy   -4.180 eV per atom

---

Entry 3:
First-principles (GGA-PBE) data for a relaxed Nd5Sm12Sc2 crystal, as listed in the Alexandria database.

Cell: 7.401 10.294 10.029 Å, 66.06 90.00 111.07°
Fractional positions:
1 Sm 0.007 0.015 0.791
2 Nd 0.675 0.350 0.805
3 Sm 0.493 0.986 0.318
4 Sc 0.304 0.000 0.000
5 Sm 0.091 0.683 0.850
6 Sm 0.909 0.317 0.150
7 Nd 0.825 0.650 0.170
8 Sm 0.407 0.330 0.500
9 Sm 0.593 0.670 0.500
10 Nd 0.175 0.350 0.830
11 Sm 0.408 0.317 0.150
12 Sm 0.507 0.014 0.682
13 Sc 0.696 0.000 0.000
14 Sm 0.078 0.670 0.500
15 Nd 0.000 0.000 0.500
16 Nd 0.325 0.650 0.195
17 Sm 0.592 0.683 0.850
18 Sm 0.922 0.330 0.500
19 Sm 0.993 0.985 0.209

Properties
Spin magnetization   0.00 μB/cell
DFT total energy   -4.735 eV per atom

---

Entry 4:
First-principles (GGA-PBE) data for a relaxed Nd8Sm3Sc4 crystal, as listed in the Alexandria database.

Cell: 6.711 9.302 9.302 Å, 81.26 113.64 113.64°
Fractional positions:
1 Sm 0.500 0.500 0.500
2 Nd 0.849 0.768 0.768
3 Nd 0.000 0.710 0.290
4 Sc 0.000 0.000 0.500
5 Nd 0.244 0.703 0.703
6 Nd 0.151 0.232 0.232
7 Nd 0.756 0.297 0.297
8 Sc 0.000 0.500 0.000
9 Nd 0.500 0.761 0.239
10 Sc 0.000 0.000 0.000
11 Nd 0.000 0.290 0.710
12 Sm 0.500 0.500 0.000
13 Nd 0.500 0.239 0.761
14 Sc 0.500 0.000 0.000
15 Sm 0.500 0.000 0.500

Properties
Spin magnetization   0.00 μB/cell
DFT total energy   -4.836 eV per atom

---

Entry 5:
First-principles (GGA-PBE) data for a relaxed Nd4Sm3Sc crystal, as listed in the Alexandria database.

Cell: 6.308 7.314 11.642 Å, 90.00 90.00 90.00°
Fractional positions:
1 Sm 0.978 0.620 0.249
2 Sc 0.145 0.381 0.000
3 Nd 0.139 0.871 0.500
4 Nd 0.486 0.870 0.742
5 Sc 0.645 0.619 0.500
6 Sm 0.478 0.380 0.251
7 Nd 0.639 0.129 0.000
8 Nd 0.486 0.870 0.258
9 Sm 0.478 0.380 0.749
10 Nd 0.986 0.130 0.242
11 Sm 0.978 0.620 0.751
12 Nd 0.986 0.130 0.758
13 Nd 0.154 0.871 0.000
14 Sm 0.648 0.623 0.000
15 Sm 0.148 0.377 0.500
16 Nd 0.654 0.129 0.500

Properties
Spin magnetization   0.00 μB/cell
DFT total energy   -4.900 eV per atom

---

Entry 6:
First-principles (GGA-PBE) data for a relaxed Nd12SmSc2 crystal, as listed in the Alexandria database.

Cell: 6.726 6.726 25.589 Å, 95.17 95.17 116.97°
Fractional positions:
1 Nd 0.141 0.068 0.799
2 Nd 0.639 0.643 0.557
3 Sc 0.495 0.995 0.712
4 Nd 0.972 0.039 0.326
5 Sc 0.005 0.505 0.288
6 Nd 0.357 0.361 0.443
7 Nd 0.146 0.646 0.601
8 Nd 0.354 0.854 0.399
9 Nd 0.771 0.271 0.835
10 Sm 0.992 0.492 0.984
11 Nd 0.884 0.384 0.438
12 Nd 0.932 0.859 0.201
13 Nd 0.437 0.377 0.929
14 Nd 0.861 0.857 0.443
15 Nd 0.568 0.641 0.799
16 Nd 0.729 0.229 0.165
17 Nd 0.877 0.937 0.929
18 Nd 0.623 0.563 0.071
19 Nd 0.226 0.726 0.119
20 Nd 0.063 0.123 0.071
21 Nd 0.961 0.028 0.674
22 Nd 0.539 0.472 0.326
23 Sc 0.038 0.538 0.734
24 Nd 0.359 0.432 0.201
25 Nd 0.274 0.774 0.881
26 Nd 0.143 0.139 0.557
27 Sc 0.462 0.962 0.266
28 Nd 0.528 0.461 0.674
29 Sm 0.508 0.008 0.016
30 Nd 0.616 0.116 0.562

Properties
Spin magnetization   0.00 μB/cell
DFT total energy   -4.851 eV per atom

---

Entry 7:
First-principles (GGA-PBE) data for a relaxed Nd3SmSc4 crystal, as listed in the Alexandria database.

Cell: 5.891 7.404 10.863 Å, 90.00 90.00 90.00°
Fractional positions:
1 Nd 0.501 0.356 0.250
2 Nd 0.001 0.644 0.750
3 Nd 0.128 0.356 0.500
4 Sc 0.985 0.101 0.249
5 Sm 0.127 0.355 0.000
6 Sc 0.144 0.899 0.500
7 Sc 0.144 0.899 0.000
8 Sm 0.627 0.645 0.500
9 Sc 0.485 0.899 0.251
10 Sc 0.985 0.101 0.751
11 Nd 0.001 0.644 0.250
12 Sc 0.485 0.899 0.749
13 Nd 0.501 0.356 0.750
14 Sc 0.644 0.101 0.500
15 Sc 0.644 0.101 0.000
16 Nd 0.628 0.644 0.000

Properties
Spin magnetization   0.00 μB/cell
DFT total energy   -5.485 eV per atom

---

Entry 8:
First-principles (GGA-PBE) data for a relaxed Nd4Sm5Sc2 crystal, as listed in the Alexandria database.

Cell: 3.532 8.671 12.072 Å, 94.51 98.41 90.00°
Fractional positions:
1 Nd 0.725 0.824 0.451
2 Sm 0.871 0.961 0.742
3 Sm 0.818 0.523 0.637
4 Sm 0.182 0.477 0.363
5 Sc 0.413 0.302 0.825
6 Nd 0.039 0.349 0.077
7 Nd 0.275 0.176 0.549
8 Sm 0.129 0.039 0.258
9 Sc 0.587 0.698 0.175
10 Sm 0.500 0.000 0.000
11 Nd 0.961 0.651 0.923

Properties
Spin magnetization   0.00 μB/cell
DFT total energy   -4.918 eV per atom

---

Entry 9:
First-principles (GGA-PBE) data for a relaxed Nd3Sm4Sc crystal, as listed in the Alexandria database.

Cell: 3.514 11.742 8.931 Å, 131.10 101.35 90.00°
Fractional positions:
1 Sc 0.500 0.000 0.000
2 Sm 0.367 0.111 0.735
3 Nd 0.762 0.762 0.524
4 Nd 0.000 0.500 0.000
5 Sm 0.367 0.624 0.735
6 Sm 0.633 0.889 0.265
7 Nd 0.238 0.238 0.476
8 Sm 0.633 0.376 0.265

Properties
Spin magnetization   0.00 μB/cell
DFT total energy   -4.820 eV per atom

---

Entry 10:
First-principles (GGA-PBE) data for a relaxed Nd3SmSc3 crystal, as listed in the Alexandria database.

Cell: 8.651 8.651 8.651 Å, 58.40 58.40 58.40°
Fractional positions:
1 Sc 0.167 0.939 0.725
2 Sc 0.275 0.833 0.061
3 Sc 0.939 0.725 0.167
4 Nd 0.285 0.434 0.927
5 Sm 0.344 0.344 0.344
6 Sc 0.833 0.061 0.275
7 Sc 0.725 0.167 0.939
8 Sc 0.061 0.275 0.833
9 Nd 0.434 0.927 0.285
10 Sm 0.656 0.656 0.656
11 Nd 0.073 0.715 0.566
12 Nd 0.715 0.566 0.073
13 Nd 0.566 0.073 0.715
14 Nd 0.927 0.285 0.434

Properties
Spin magnetization   0.00 μB/cell
DFT total energy   -5.252 eV per atom

---

Entry 11:
First-principles (GGA-PBE) data for a relaxed Nd7Sm4Sc crystal, as listed in the Alexandria database.

Cell: 7.321 6.316 9.062 Å, 103.58 89.99 89.99°
Fractional positions:
1 Nd 0.500 0.227 0.665
2 Nd 0.000 0.219 0.669
3 Nd 0.753 0.500 0.000
4 Sc 0.000 0.000 0.000
5 Sm 0.246 0.275 0.328
6 Nd 0.000 0.781 0.331
7 Sm 0.754 0.725 0.672
8 Sm 0.246 0.725 0.672
9 Nd 0.500 0.773 0.335
10 Sm 0.754 0.275 0.328
11 Nd 0.247 0.500 0.000
12 Nd 0.500 0.000 0.000

Properties
Spin magnetization   0.00 μB/cell
DFT total energy   -4.856 eV per atom

---

Entry 12:
First-principles (GGA-PBE) data for a relaxed NdSm15Sc4 crystal, as listed in the Alexandria database.

Cell: 5.031 5.031 25.103 Å, 90.00 90.00 90.00°
Fractional positions:
1 Sm 0.500 0.000 0.698
2 Sm 0.500 0.000 0.302
3 Sm 0.500 0.500 0.000
4 Sc 0.000 0.000 0.599
5 Sm 0.500 0.500 0.204
6 Sm 0.500 0.000 0.105
7 Sm 0.000 0.500 0.698
8 Sm 0.500 0.500 0.796
9 Sm 0.500 0.500 0.599
10 Sm 0.500 0.500 0.401
11 Sm 0.000 0.500 0.302
12 Sm 0.000 0.500 0.500
13 Sm 0.500 0.000 0.895
14 Sm 0.500 0.000 0.500
15 Nd 0.000 0.000 0.000
16 Sc 0.000 0.000 0.401
17 Sc 0.000 0.000 0.204
18 Sc 0.000 0.000 0.796
19 Sm 0.000 0.500 0.895
20 Sm 0.000 0.500 0.105

Properties
Spin magnetization   0.00 μB/cell
DFT total energy   -5.010 eV per atom

---

Entry 13:
First-principles (GGA-PBE) data for a relaxed NdSm6Sc6 crystal, as listed in the Alexandria database.

Cell: 6.478 6.478 11.004 Å, 90.00 90.00 120.02°
Fractional positions:
1 Sc 0.500 0.000 0.755
2 Sc 0.500 0.000 0.245
3 Sm 0.000 0.000 0.661
4 Sm 0.666 0.334 0.500
5 Sc 0.500 0.500 0.755
6 Nd 0.000 0.000 0.000
7 Sm 0.334 0.666 0.500
8 Sm 0.333 0.667 0.000
9 Sc 0.000 0.500 0.245
10 Sm 0.667 0.333 0.000
11 Sm 0.000 0.000 0.339
12 Sc 0.000 0.500 0.755
13 Sc 0.500 0.500 0.245

Properties
Spin magnetization   0.03 μB/cell
DFT total energy   -5.248 eV per atom

---

Entry 14:
First-principles (GGA-PBE) data for a relaxed Nd15SmSc4 crystal, as listed in the Alexandria database.

Cell: 5.083 5.083 25.356 Å, 90.00 90.00 90.00°
Fractional positions:
1 Nd 0.000 0.500 0.302
2 Sc 0.000 0.000 0.797
3 Nd 0.000 0.500 0.104
4 Nd 0.500 0.000 0.896
5 Nd 0.000 0.500 0.896
6 Nd 0.500 0.500 0.203
7 Sc 0.000 0.000 0.599
8 Nd 0.500 0.000 0.302
9 Nd 0.500 0.500 0.000
10 Nd 0.500 0.000 0.500
11 Sc 0.000 0.000 0.401
12 Nd 0.500 0.000 0.104
13 Sm 0.000 0.000 0.000
14 Nd 0.500 0.000 0.698
15 Nd 0.500 0.500 0.401
16 Nd 0.500 0.500 0.797
17 Nd 0.000 0.500 0.500
18 Nd 0.500 0.500 0.599
19 Sc 0.000 0.000 0.203
20 Nd 0.000 0.500 0.698

Properties
Spin magnetization   0.00 μB/cell
DFT total energy   -5.047 eV per atom

---

Entry 15:
First-principles (GGA-PBE) data for a relaxed NdSm2Sc6 crystal, as listed in the Alexandria database.

Cell: 5.862 7.062 7.062 Å, 60.00 89.99 89.99°
Fractional positions:
1 Sc 0.318 0.377 0.812
2 Sc 0.682 0.188 0.623
3 Sc 0.317 0.811 0.811
4 Sm 0.195 0.334 0.334
5 Nd 0.000 0.000 0.000
6 Sc 0.682 0.623 0.188
7 Sc 0.683 0.189 0.189
8 Sc 0.318 0.812 0.377
9 Sm 0.805 0.666 0.666

Properties
Spin magnetization   0.00 μB/cell
DFT total energy   -5.566 eV per atom

---

Entry 16:
First-principles (GGA-PBE) data for a relaxed NdSmSc3 crystal, as listed in the Alexandria database.

Cell: 3.516 5.666 14.198 Å, 90.00 97.11 90.00°
Each line ends with the local moment (μB).
Fractional positions:
1 Sc 0.055 0.872 0.111  0.11
2 Sm 0.859 0.977 0.717  0.01
3 Sc 0.257 0.095 0.513  -0.01
4 Sm 0.141 0.477 0.283  0.01
5 Sc 0.743 0.595 0.487  -0.01
6 Nd 0.657 0.981 0.315  0.00
7 Sc 0.945 0.372 0.889  0.11
8 Sc 0.538 0.369 0.075  0.10
9 Nd 0.343 0.481 0.685  0.00
10 Sc 0.462 0.869 0.925  0.10

Properties
Spin magnetization   0.76 μB/cell
DFT total energy   -5.607 eV per atom

---

Entry 17:
First-principles (GGA-PBE) data for a relaxed NdSm6Sc3 crystal, as listed in the Alexandria database.

Cell: 6.222 11.453 11.453 Å, 129.96 90.00 90.00°
Fractional positions:
1 Sm 0.017 0.348 0.300
2 Sm 0.841 0.048 0.952
3 Sm 0.847 0.395 0.003
4 Sm 0.517 0.652 0.700
5 Sm 0.341 0.952 0.048
6 Sm 0.517 0.300 0.348
7 Sm 0.347 0.003 0.395
8 Sm 0.347 0.605 0.997
9 Sc 0.669 0.611 0.389
10 Sc 0.888 0.066 0.291
11 Sm 0.201 0.665 0.335
12 Sc 0.888 0.709 0.934
13 Sc 0.388 0.934 0.709
14 Sc 0.388 0.291 0.066
15 Nd 0.770 0.765 0.235
16 Sc 0.169 0.389 0.611
17 Sm 0.847 0.997 0.605
18 Sm 0.701 0.335 0.665
19 Sm 0.017 0.700 0.652
20 Nd 0.270 0.235 0.765

Properties
Spin magnetization   0.00 μB/cell
DFT total energy   -5.044 eV per atom

---

Entry 18:
First-principles (GGA-PBE) data for a relaxed Nd4Sm7Sc crystal, as listed in the Alexandria database.

Cell: 7.230 8.103 9.565 Å, 75.39 79.12 47.78°
Fractional positions:
1 Nd 0.419 0.498 0.837
2 Sm 0.078 0.509 0.165
3 Sm 0.333 0.998 0.670
4 Sm 0.667 0.002 0.330
5 Sm 0.500 0.000 0.000
6 Sm 0.922 0.491 0.835
7 Nd 0.165 0.002 0.329
8 Sm 0.748 0.503 0.498
9 Nd 0.581 0.502 0.163
10 Sm 0.252 0.497 0.502
11 Nd 0.835 0.998 0.671
12 Sc 0.000 0.000 0.000

Properties
Spin magnetization   0.00 μB/cell
DFT total energy   -4.845 eV per atom